{
  "formula": "ErZn3P3",
  "functional": "PBE-GGA",
  "state": "optimized geometry",
  "lattice": [[3.989, 0.000, 0.000], [-1.995, 3.455, 0.000], [0.000, 0.000, 19.807]],
  "species": ["Er", "Er", "Zn", "Zn", "Zn", "Zn", "Zn", "Zn", "P", "P", "P", "P", "P", "P"],
  "frac_coords": [[0.000, 0.000, 0.000], [0.000, 0.000, 0.500], [0.333, 0.667, 0.128], [0.333, 0.667, 0.372], [0.333, 0.667, 0.750], [0.667, 0.333, 0.250], [0.667, 0.333, 0.628], [0.667, 0.333, 0.872], [0.333, 0.667, 0.250], [0.333, 0.667, 0.583], [0.333, 0.667, 0.917], [0.667, 0.333, 0.083], [0.667, 0.333, 0.417], [0.667, 0.333, 0.750]],
  "crystal_system": "hexagonal",
  "magnetic_moment_mub_per_cell": 0.00,
  "formation_enthalpy_0k_ev_per_fu": -4.17,
  "space_group": "P6_3/mmc (194)",
  "energy_ev_per_cell": -57.57
}